VASP calculation (PBE) on a relaxed structure of Te2AuBr.

a = 5.832 Å, b = 5.832 Å, c = 5.832 Å
α = 137.93°, β = 113.68°, γ = 81.72°
Fractional coordinates of all 4 atoms:
Te  0.060  0.060  0.000
Te  0.440  0.440  0.000
Au  0.250  0.750  0.500
Br  0.750  0.250  0.500

Results
As for the volume: 117.8 Å³ per cell. For the density of states at the Fermi level, the calculation gives 2.9 states/eV per cell. For the raw formation energy, the calculation gives 0.07 eV/atom. The space group is Immm, No. 71.